This record from Alexandria describes crystalline SrRe2Pt at its relaxed geometry. The functional is GGA-PBE.

```
SrRe2Pt
1.0
-6.7912 2.2890 7.0214
-8.5533 2.2412 4.7411
-7.9351 -0.2039 6.1362
Pt Re Sr
1 2 1
Cartesian
-17.2761 3.2106 13.2828
-6.0968 1.1330 4.6875
-23.2307 4.3173 17.8610
-11.5956 2.1550 8.9153
```

DFT formation energy	0.526	eV/atom
energy	-7.629	eV/atom